Ni3AgH3: relaxed, PBE.

The structure belongs to space group Pm-3n (No. 223); the cell edges are 4.9044, 4.9044 and 4.9044 Å and the angles 90.00°, 90.00° and 90.00°. The distinct sites, in fractional coordinates, are Ni at (0.0000, 0.2500, 0.5000), Ag at (0.0000, 0.0000, 0.0000) and H at (0.0000, 0.5000, 0.2500).

The theoretical density is 8.079 g cm⁻³. The total DFT energy (no corrections) is -0.157 Ha/atom.

Ni3AgH: relaxed, PBE.

The structure belongs to space group Pm-3m (No. 221); the cell edges are 3.7356, 3.7356 and 3.7356 Å and the angles 90.00°, 90.00° and 90.00°. The distinct sites, in fractional coordinates, are Ni at (0.0000, 0.0000, 0.5000), Ag at (0.5000, 0.5000, 0.5000) and H at (0.0000, 0.0000, 0.0000).

The theoretical density is 9.077 g cm⁻³. The total DFT energy (no corrections) is -0.168 Ha/atom. The calculation puts the energy above the most stable polymorph in this dataset at 0.0 meV/atom.